(1)
Computed, not measured: a relaxed Zr2Ga4Co3 crystal at the PBE level of DFT.

Cell: 7.4836 6.5717 5.0789 Å, 78.79 59.47 41.74°
Fractional positions:
Zr1 0.1215 0.1215 0.8785
Zr2 0.8785 0.8785 0.1215
Ga1 0.1723 0.5018 0.4982
Ga2 0.4982 0.8277 0.1723
Ga3 0.5018 0.1723 0.8277
Ga4 0.8277 0.4982 0.5018
Co1 0.0000 0.0000 0.5000
Co2 0.5000 0.5000 0.0000
Co3 0.5000 0.5000 0.5000

Computed properties:
formation enthalpy at 0 K = -358 kJ/mol of formula units

(2)
Computed, not measured: a relaxed CaSc4Zn5 crystal at the PBE level of DFT.

Cell: 3.4030 3.4030 17.0929 Å, 90.00 90.00 90.00°
Fractional positions:
Ca1 0.0000 0.0000 0.0000
Sc1 0.0000 0.0000 0.2108
Sc2 0.0000 0.0000 0.4039
Sc3 0.0000 0.0000 0.5961
Sc4 0.0000 0.0000 0.7892
Zn1 0.5000 0.5000 0.1202
Zn2 0.5000 0.5000 0.3065
Zn3 0.5000 0.5000 0.5000
Zn4 0.5000 0.5000 0.6935
Zn5 0.5000 0.5000 0.8798

Computed properties:
formation enthalpy at 0 K = -328 kJ/mol of formula units

(3)
Computed, not measured: a relaxed Zr2SiSbC crystal at the PBE level of DFT.

Cell: 4.9733 4.9733 4.8802 Å, 90.00 90.00 90.00°
Fractional positions:
Zr1 0.0000 0.5000 0.0000
Zr2 0.5000 0.0000 0.0000
Si1 0.0000 0.0000 0.0000
Sb1 0.0000 0.0000 0.5000
C1 0.5000 0.5000 0.5000

Computed properties:
formation energy from raw total energies = 1.558 eV/atom

(4)
Computed, not measured: a relaxed ZnSnSeN2 crystal at the PBE level of DFT.

Cell: 4.0687 4.0687 5.8629 Å, 90.00 90.00 90.00°
Fractional positions:
Zn1 0.0000 0.0000 0.0000
Sn1 0.5000 0.5000 0.5000
Se1 0.5000 0.5000 0.0000
N1 0.0000 0.5000 0.5000
N2 0.5000 0.0000 0.5000

Computed properties:
formation energy from raw total energies = 1.165 eV/atom

(5)
Computed, not measured: a relaxed La3Tm6In crystal at the PBE level of DFT.

Cell: 10.2114 10.2114 6.3151 Å, 90.00 90.00 98.55°
Fractional positions:
La1 0.1414 0.8586 0.5000
La2 0.2120 0.3873 0.8391
La3 0.3873 0.2120 0.3391
La4 0.6127 0.7880 0.8391
La5 0.7880 0.6127 0.3391
La6 0.8586 0.1414 0.0000
Tm1 0.0592 0.1767 0.4979
Tm2 0.0984 0.4913 0.3133
Tm3 0.1767 0.0592 0.9979
Tm4 0.2528 0.7472 0.9976
Tm5 0.4518 0.5482 0.1638
Tm6 0.4913 0.0984 0.8133
Tm7 0.5087 0.9016 0.3133
Tm8 0.5482 0.4518 0.6638
Tm9 0.7472 0.2528 0.4976
Tm10 0.8233 0.9408 0.4979
Tm11 0.9016 0.5087 0.8133
Tm12 0.9408 0.8233 0.9979
In1 0.3479 0.6521 0.5635
In2 0.6521 0.3479 0.0635

Computed properties:
formation enthalpy at 0 K = 60 kJ/mol of formula units

(6)
Computed, not measured: a relaxed SnSb2Pb9 crystal at the PBE level of DFT.

Cell: 5.9343 5.9343 10.5461 Å, 90.00 90.00 90.00°
Fractional positions:
Sn1 0.0000 0.0000 0.0000
Sb1 0.0000 0.0000 0.3173
Sb2 0.0000 0.0000 0.6827
Pb1 0.0000 0.5000 0.1693
Pb2 0.0000 0.5000 0.5000
Pb3 0.0000 0.5000 0.8307
Pb4 0.5000 0.0000 0.1693
Pb5 0.5000 0.0000 0.5000
Pb6 0.5000 0.0000 0.8307
Pb7 0.5000 0.5000 0.0000
Pb8 0.5000 0.5000 0.3340
Pb9 0.5000 0.5000 0.6660

Computed properties:
formation energy from raw total energies = 0.045 eV/atom

(7)
Computed, not measured: a relaxed TiReMo crystal at the PBE level of DFT.

Cell: 5.2563 5.2563 6.9754 Å, 104.54 104.54 32.93°
Fractional positions:
Ti1 0.1684 0.1684 0.1279
Ti2 0.8316 0.8316 0.8721
Re1 0.4535 0.4535 0.1872
Re2 0.5465 0.5465 0.8128
Mo1 0.3555 0.3555 0.4972
Mo2 0.6445 0.6445 0.5028

Computed properties:
formation enthalpy at 0 K = 91 kJ/mol of formula units

(8)
Computed, not measured: a relaxed CrCu2Te crystal at the PBE level of DFT.

Cell: 5.8142 5.8142 5.8142 Å, 101.54 101.54 126.87°
Fractional positions:
Cr1 0.0000 0.0000 0.0000
Cr2 0.7500 0.2500 0.5000
Cu1 0.1293 0.6250 0.0043
Cu2 0.3750 0.3793 0.5043
Cu3 0.6207 0.1250 0.9957
Cu4 0.8750 0.8707 0.4957
Te1 0.2500 0.7500 0.5000
Te2 0.5000 0.5000 0.0000

Computed properties:
formation energy from raw total energies = 0.477 eV/atom

(9)
Computed, not measured: a relaxed SrTiOsC2 crystal at the PBE level of DFT.

Cell: 4.2620 4.2620 4.7677 Å, 90.00 90.00 90.00°
Fractional positions:
Sr1 0.0000 0.0000 0.0000
Ti1 0.5000 0.5000 0.5000
Os1 0.5000 0.5000 0.0000
C1 0.0000 0.5000 0.5000
C2 0.5000 0.0000 0.5000

Computed properties:
formation enthalpy at 0 K = 696 kJ/mol of formula units

(10)
Computed, not measured: a relaxed Ce2Er3Se8 crystal at the PBE level of DFT.

Cell: 8.3978 8.3978 6.9293 Å, 106.59 106.59 58.00°
Fractional positions:
Ce1 0.2410 0.2410 0.1710
Ce2 0.7590 0.7590 0.8290
Er1 0.2407 0.7593 0.5000
Er2 0.5000 0.5000 0.0000
Er3 0.7593 0.2407 0.5000
Se1 0.1118 0.1118 0.3989
Se2 0.1427 0.6129 0.0882
Se3 0.3847 0.3847 0.5818
Se4 0.3871 0.8573 0.9118
Se5 0.6129 0.1427 0.0882
Se6 0.6153 0.6153 0.4182
Se7 0.8573 0.3871 0.9118
Se8 0.8882 0.8882 0.6011

Computed properties:
formation energy from raw total energies = -1.760 eV/atom

(11)
Computed, not measured: a relaxed Th3SbOsRh crystal at the PBE level of DFT.

Cell: 8.3902 4.2915 9.9174 Å, 90.00 115.01 90.00°
Fractional positions:
Th1 0.0172 0.2500 0.3566
Th2 0.2250 0.2500 0.9731
Th3 0.4269 0.7500 0.6280
Th4 0.5731 0.2500 0.3720
Th5 0.7750 0.7500 0.0269
Th6 0.9828 0.7500 0.6434
Sb1 0.2253 0.7500 0.2286
Sb2 0.7747 0.2500 0.7714
Os1 0.2277 0.2500 0.6661
Os2 0.7723 0.7500 0.3339
Rh1 0.4040 0.7500 0.8951
Rh2 0.5960 0.2500 0.1049

Computed properties:
formation energy from raw total energies = -0.635 eV/atom

(12)
Computed, not measured: a relaxed KZr3C crystal at the PBE level of DFT.

Cell: 4.7746 4.7746 4.7746 Å, 90.00 90.00 90.00°
Fractional positions:
K1 0.0000 0.0000 0.0000
Zr1 0.0000 0.5000 0.5000
Zr2 0.5000 0.0000 0.5000
Zr3 0.5000 0.5000 0.0000
C1 0.5000 0.5000 0.5000

Computed properties:
formation enthalpy at 0 K = 240 kJ/mol of formula units